[1]
Material: Ga2BiAs
Method: DFT, PBE-GGA
State: relaxed

formation energy from the elements	195	meV per atom
density of states at the Fermi level	11.0	states/eV/cell
volume	22.77	A^3/atom
polymorph energy (0 for the lowest one)	336	meV per atom
M_tot	0.0	μB per formula unit

Unit cell a=7.142 b=7.142 c=7.142 alpha=90.00 beta=90.00 gamma=90.00
Sites, in units of the cell vectors:
1 Ga 0.250 0.250 0.250
2 Ga 0.250 0.250 0.750
3 Ga 0.250 0.750 0.250
4 Ga 0.250 0.750 0.750
5 Ga 0.750 0.250 0.250
6 Ga 0.750 0.250 0.750
7 Ga 0.750 0.750 0.250
8 Ga 0.750 0.750 0.750
9 Bi 0.000 0.000 0.000
10 Bi 0.000 0.500 0.500
11 Bi 0.500 0.000 0.500
12 Bi 0.500 0.500 0.000
13 As 0.000 0.000 0.500
14 As 0.000 0.500 0.000
15 As 0.500 0.000 0.000
16 As 0.500 0.500 0.500

[2]
Material: CeTl2CdSe4
Method: DFT, PBE-GGA
State: relaxed

formation energy without anion corrections	-0.901	eV per atom
density of states at the Fermi level	0.6	states/eV/cell
volume	29.26	A^3/atom
M_tot	0.1	μB per formula unit

Unit cell a=7.160 b=4.236 c=8.142 alpha=90.00 beta=108.56 gamma=90.00
Sites, in units of the cell vectors:
1 Ce 0.000 0.000 0.000
2 Tl 0.000 0.500 0.500
3 Tl 0.500 0.000 0.500
4 Cd 0.500 0.500 0.000
5 Se 0.226 0.500 0.213
6 Se 0.266 0.000 0.799
7 Se 0.734 0.000 0.201
8 Se 0.774 0.500 0.787

[3]
Material: CsPbSe
Method: DFT, PBE-GGA
State: relaxed

formation energy without anion corrections	-0.462	eV per atom
density of states at the Fermi level	6.2	states/eV/cell
volume	36.92	A^3/atom
polymorph energy (0 for the lowest one)	120	meV per atom
M_tot	0.0	μB per formula unit

Unit cell a=5.558 b=7.267 c=10.969 alpha=90.00 beta=90.00 gamma=90.00
Sites, in units of the cell vectors:
1 Cs 0.000 0.238 0.000
2 Cs 0.000 0.762 0.000
3 Cs 0.500 0.262 0.500
4 Cs 0.500 0.738 0.500
5 Pb 0.000 0.000 0.320
6 Pb 0.000 0.000 0.680
7 Pb 0.500 0.500 0.180
8 Pb 0.500 0.500 0.820
9 Se 0.000 0.500 0.287
10 Se 0.000 0.500 0.713
11 Se 0.500 0.000 0.213
12 Se 0.500 0.000 0.787

[4]
Material: Mg3Ag5
Method: DFT, PBE-GGA
State: relaxed

formation energy from the elements	-187	meV per atom
density of states at the Fermi level	3.3	states/eV/cell
volume	18.27	A^3/atom
polymorph energy (0 for the lowest one)	0	meV per atom
M_tot	0.0	μB per formula unit

Unit cell a=7.543 b=8.636 c=4.487 alpha=90.00 beta=90.00 gamma=90.00
Sites, in units of the cell vectors:
1 Mg 0.000 0.000 0.000
2 Mg 0.000 0.274 0.500
3 Mg 0.000 0.726 0.500
4 Mg 0.500 0.226 0.500
5 Mg 0.500 0.500 0.000
6 Mg 0.500 0.774 0.500
7 Ag 0.000 0.500 0.000
8 Ag 0.224 0.000 0.500
9 Ag 0.250 0.250 0.000
10 Ag 0.250 0.750 0.000
11 Ag 0.276 0.500 0.500
12 Ag 0.500 0.000 0.000
13 Ag 0.724 0.500 0.500
14 Ag 0.750 0.250 0.000
15 Ag 0.750 0.750 0.000
16 Ag 0.776 0.000 0.500

[5]
Material: LiCo2Ir
Method: DFT, PBE-GGA
State: relaxed

formation energy from the elements	141	meV per atom
density of states at the Fermi level	4.0	states/eV/cell
volume	11.89	A^3/atom
M_tot	4.2	μB per formula unit

Unit cell a=2.894 b=2.894 c=5.678 alpha=90.00 beta=90.00 gamma=90.00
Sites, in units of the cell vectors:
1 Li 0.000 0.000 0.000
2 Co 0.000 0.000 0.466
3 Co 0.500 0.500 0.240
4 Ir 0.500 0.500 0.743

[6]
Material: NaPr8Se12
Method: DFT, PBE-GGA
State: relaxed

formation energy without anion corrections	-1.850	eV per atom
density of states at the Fermi level	13.2	states/eV/cell
volume	26.17	A^3/atom
M_tot	0.0	μB per formula unit

Unit cell a=14.983 b=14.983 c=14.983 alpha=145.04 beta=145.04 gamma=50.28
Sites, in units of the cell vectors:
1 Na 0.000 0.000 0.000
2 Na 0.750 0.250 0.500
3 Pr 0.036 0.663 0.118
4 Pr 0.082 0.964 0.626
5 Pr 0.083 0.583 0.500
6 Pr 0.206 0.587 0.874
7 Pr 0.333 0.333 0.000
8 Pr 0.337 0.456 0.374
9 Pr 0.375 0.006 0.131
10 Pr 0.413 0.286 0.618
11 Pr 0.417 0.917 0.500
12 Pr 0.544 0.918 0.882
13 Pr 0.667 0.667 0.000
14 Pr 0.668 0.794 0.382
15 Pr 0.714 0.332 0.126
16 Pr 0.756 0.625 0.631
17 Pr 0.875 0.244 0.869
18 Pr 0.994 0.125 0.369
19 Se 0.008 0.609 0.251
20 Se 0.029 0.923 0.747
21 Se 0.032 0.427 0.753
22 Se 0.059 0.312 0.903
23 Se 0.062 0.309 0.403
24 Se 0.077 0.823 0.106
25 Se 0.177 0.282 0.253
26 Se 0.243 0.992 0.601
27 Se 0.341 0.938 0.247
28 Se 0.358 0.757 0.749
29 Se 0.359 0.258 0.751
30 Se 0.391 0.642 0.399
31 Se 0.392 0.641 0.899
32 Se 0.409 0.156 0.097
33 Se 0.507 0.608 0.249
34 Se 0.573 0.327 0.606
35 Se 0.673 0.279 0.247
36 Se 0.688 0.591 0.747
37 Se 0.691 0.094 0.753
38 Se 0.718 0.971 0.894
39 Se 0.721 0.968 0.394
40 Se 0.742 0.493 0.101
41 Se 0.844 0.941 0.253
42 Se 0.906 0.659 0.597

[7]
Material: SnHPd3
Method: DFT, PBE-GGA
State: relaxed

density of states at the Fermi level	2.8	states/eV/cell
volume	14.04	A^3/atom
polymorph energy (0 for the lowest one)	39	meV per atom
M_tot	0.0	μB per formula unit

Unit cell a=4.966 b=5.676 c=5.436 alpha=90.00 beta=113.60 gamma=90.00
Sites, in units of the cell vectors:
1 Sn 0.243 0.250 0.297
2 Sn 0.757 0.750 0.703
3 H 0.476 0.750 0.081
4 H 0.524 0.250 0.919
5 Pd 0.190 0.750 0.208
6 Pd 0.276 0.506 0.735
7 Pd 0.276 0.994 0.735
8 Pd 0.724 0.006 0.265
9 Pd 0.724 0.494 0.265
10 Pd 0.810 0.250 0.792

[8]
Material: BeFeAs2
Method: DFT, PBE-GGA
State: relaxed

formation energy from the elements	156	meV per atom
density of states at the Fermi level	7.4	states/eV/cell
volume	14.38	A^3/atom
polymorph energy (0 for the lowest one)	167	meV per atom
M_tot	2.0	μB per formula unit

Unit cell a=3.241 b=3.241 c=18.968 alpha=90.00 beta=90.00 gamma=120.00
Sites, in units of the cell vectors:
1 Be 0.000 0.000 0.000
2 Be 0.333 0.667 0.667
3 Be 0.667 0.333 0.333
4 Fe 0.000 0.000 0.500
5 Fe 0.333 0.667 0.167
6 Fe 0.667 0.333 0.833
7 As 0.000 0.000 0.252
8 As 0.000 0.000 0.748
9 As 0.333 0.667 0.415
10 As 0.333 0.667 0.918
11 As 0.667 0.333 0.082
12 As 0.667 0.333 0.585

[9]
Material: Zr2Si2Ag
Method: DFT, PBE-GGA
State: relaxed

formation energy without anion corrections	-0.247	eV per atom
density of states at the Fermi level	7.3	states/eV/cell
volume	19.15	A^3/atom
polymorph energy (0 for the lowest one)	387	meV per atom
M_tot	0.0	μB per formula unit

Unit cell a=3.447 b=3.447 c=16.113 alpha=90.00 beta=90.00 gamma=90.00
Sites, in units of the cell vectors:
1 Zr 0.000 0.000 0.114
2 Zr 0.000 0.000 0.886
3 Zr 0.500 0.500 0.386
4 Zr 0.500 0.500 0.614
5 Si 0.000 0.500 0.250
6 Si 0.000 0.500 0.750
7 Si 0.500 0.000 0.250
8 Si 0.500 0.000 0.750
9 Ag 0.000 0.000 0.500
10 Ag 0.500 0.500 0.000

[10]
Material: Ru2RhW2
Method: DFT, PBE-GGA
State: relaxed

formation energy from the elements	158	meV per atom
density of states at the Fermi level	7.4	states/eV/cell
volume	15.55	A^3/atom
polymorph energy (0 for the lowest one)	0	meV per atom
M_tot	0.0	μB per formula unit

Unit cell a=7.315 b=7.315 c=2.905 alpha=90.00 beta=90.00 gamma=90.00
Sites, in units of the cell vectors:
1 Ru 0.132 0.368 0.000
2 Ru 0.368 0.868 0.000
3 Ru 0.632 0.132 0.000
4 Ru 0.868 0.632 0.000
5 Rh 0.000 0.000 0.000
6 Rh 0.500 0.500 0.000
7 W 0.168 0.668 0.500
8 W 0.332 0.168 0.500
9 W 0.668 0.832 0.500
10 W 0.832 0.332 0.500